Material: Ac3Nd3Pt2
Method: DFT, PBE-GGA
State: optimized geometry

Unit cell a=7.1727 b=7.1727 c=19.3347 alpha=90.00 beta=90.00 gamma=146.67
With the nearest neighbours (Å) after each atom.
Fractional positions:
Ac 0.0552 0.9448 0.5979  2 Pt 3.17
Ac 0.0552 0.9448 0.9021  2 Pt 3.17
Ac 0.3216 0.6784 0.7500  4 Pt 3.37, 3 Nd 3.72-3.77
Ac 0.6784 0.3216 0.2500  4 Pt 3.37, 3 Nd 3.72-3.77
Ac 0.9448 0.0552 0.0979  2 Pt 3.17
Ac 0.9448 0.0552 0.4021  2 Pt 3.17
Nd 0.3311 0.6689 0.5521  2 Pt 2.93
Nd 0.3311 0.6689 0.9479  2 Pt 2.93
Nd 0.4043 0.5957 0.2500  2 Pt 2.93
Nd 0.5957 0.4043 0.7500  2 Pt 2.93
Nd 0.6689 0.3311 0.0521  2 Pt 2.93
Nd 0.6689 0.3311 0.4479  2 Pt 2.93
Pt 0.2749 0.7251 0.1298  3 Nd 2.93, 2 Ac 3.17
Pt 0.2749 0.7251 0.3702  3 Nd 2.93, 2 Ac 3.17
Pt 0.7251 0.2749 0.6298  3 Nd 2.93, 2 Ac 3.17
Pt 0.7251 0.2749 0.8702  3 Nd 2.93, 2 Ac 3.17

Properties
ΔH_f (0 K)   -4.31 eV per formula unit
DOS(E_F)   9.54 states/eV/f.u.
Total energy   -86.05 eV for the cell shown